No. 1
K2CdCo after structural relaxation, computed with GGA-PBE.

a = 6.2398 Å, b = 6.2398 Å, c = 6.2398 Å
α = 135.36°, β = 122.90°, γ = 75.25°
Fractional coordinates of all 4 atoms:
Cd (0.4258, 0.4258, 0.0000)
Co (0.3296, 0.8296, 0.5000)
K (0.0260, 0.0260, 0.0000)
K (0.7186, 0.2186, 0.5000)

Properties
crystal system = orthorhombic
E_form = 0.556 eV per atom
DFT total energy = -1.998 eV per atom

No. 2
Nb6RuW3 after structural relaxation, computed with GGA-PBE.

a = 4.5873 Å, b = 7.9543 Å, c = 9.7282 Å
α = 105.83°, β = 90.00°, γ = 90.00°
Fractional coordinates of all 20 atoms:
Nb (0.2500, 0.4532, 0.1013)
Nb (0.7500, 0.5468, 0.8987)
Nb (0.2500, 0.1496, 0.2011)
Nb (0.7500, 0.8504, 0.7989)
Nb (0.2500, 0.6469, 0.6964)
Nb (0.7500, 0.3531, 0.3036)
Nb (0.2500, 0.2473, 0.5022)
Nb (0.7500, 0.7527, 0.4978)
Nb (0.2500, 0.8494, 0.3036)
Nb (0.7500, 0.1506, 0.6964)
Nb (0.2500, 0.0523, 0.8976)
Nb (0.7500, 0.9477, 0.1024)
Ru (0.2500, 0.9502, 0.5985)
Ru (0.7500, 0.0498, 0.4015)
W (0.2500, 0.5498, 0.4000)
W (0.7500, 0.4502, 0.6000)
W (0.2500, 0.3493, 0.7989)
W (0.7500, 0.6507, 0.2011)
W (0.2500, 0.7515, 0.0008)
W (0.7500, 0.2485, 0.9992)

Properties
crystal system = monoclinic
E_form = -0.123 eV per atom
DFT total energy = -10.978 eV per atom

No. 3
TiB3Se after structural relaxation, computed with GGA-PBE.

a = 4.0330 Å, b = 4.0330 Å, c = 4.0330 Å
α = 90.00°, β = 90.00°, γ = 90.00°
Fractional coordinates of all 5 atoms:
B (0.0000, 0.5000, 0.0000)
B (0.0000, 0.0000, 0.5000)
B (0.5000, 0.0000, 0.0000)
Se (0.0000, 0.0000, 0.0000)
Ti (0.5000, 0.5000, 0.5000)

Properties
crystal system = cubic
formation energy from raw total energies = 1776 meV per atom
DFT total energy = -4.507 eV per atom
energy above the lowest structure with this stoichiometry = 0 meV per atom